{
  "formula": "SiSb2Au",
  "functional": "PBE-GGA",
  "state": "optimized geometry",
  "lattice": [[7.119, 0.129, 0.026], [5.000, 5.069, -0.026], [-6.015, -2.705, 2.685]],
  "species": ["Au", "Sb", "Si", "Sb"],
  "fractional_positions": [[0.690, 0.190, 0.500], [0.975, 0.975, 0.000], [0.552, 0.552, 0.000], [0.283, 0.783, 0.500]],
  "space_group": "Imm2",
  "m_tot_mub_per_cell": 0.00,
  "formation_energy_uncorrected_ev_per_atom": 0.24,
  "final_energy_ev_per_atom": -3.99
}